1) A plane-wave DFT calculation with PBE-GGA was carried out for an optimized crystal structure of Nb3GeI.

a = 5.005 Å, b = 5.005 Å, c = 5.005 Å
α = 90.00°, β = 90.00°, γ = 90.00°
Space group Pm-3m (No. 221)
Symmetry-distinct sites (fractional):
Nb1 0.000 0.000 0.500 x3
Ge1 0.500 0.500 0.500 x1
I1 0.000 0.000 0.000 x1

***

2) A plane-wave DFT calculation with PBE-GGA was carried out for an optimized crystal structure of Nb3GeI.

a = 4.882 Å, b = 4.882 Å, c = 4.882 Å
α = 90.00°, β = 90.00°, γ = 90.00°
Space group Pm-3m (No. 221)
Symmetry-distinct sites (fractional):
Nb1 0.000 0.000 0.500 x3
Ge1 0.000 0.000 0.000 x1
I1 0.500 0.500 0.500 x1

***

Which of them is least stable? Easy: 1).

***

1) A plane-wave DFT calculation with PBE-GGA was carried out for an optimized crystal structure of NbGe2I.

a = 6.926 Å, b = 6.926 Å, c = 6.926 Å
α = 90.00°, β = 90.00°, γ = 90.00°
Space group Fm-3m (No. 225)
Symmetry-distinct sites (fractional):
Nb1 0.000 0.000 0.000 x4
Ge1 0.250 0.250 0.250 x8
I1 0.000 0.000 0.500 x4

***

2) A plane-wave DFT calculation with PBE-GGA was carried out for an optimized crystal structure of NbGe2I.

a = 6.394 Å, b = 6.394 Å, c = 12.907 Å
α = 90.00°, β = 90.00°, γ = 90.00°
Space group I-42d (No. 122)
Symmetry-distinct sites (fractional):
Nb1 0.000 0.000 0.000 x4
Ge1 0.174 0.250 0.125 x8
I1 0.000 0.000 0.500 x4

***

Which of them is least stable? Easy: 1).

***

1) A plane-wave DFT calculation with PBE-GGA was carried out for an optimized crystal structure of NbGeIO2.

a = 4.035 Å, b = 4.035 Å, c = 6.216 Å
α = 90.00°, β = 90.00°, γ = 90.00°
Space group P4/mmm (No. 123)
Symmetry-distinct sites (fractional):
Nb1 0.000 0.000 0.000 x1
Ge1 0.500 0.500 0.500 x1
I1 0.000 0.000 0.500 x1
O1 0.000 0.500 0.000 x2

***

2) A plane-wave DFT calculation with PBE-GGA was carried out for an optimized crystal structure of NbGeIO2.

a = 3.952 Å, b = 3.952 Å, c = 5.789 Å
α = 90.00°, β = 90.00°, γ = 90.00°
Space group P4/mmm (No. 123)
Symmetry-distinct sites (fractional):
Nb1 0.000 0.000 0.000 x1
Ge1 0.500 0.500 0.500 x1
I1 0.500 0.500 0.000 x1
O1 0.000 0.500 0.500 x2

***

Which of them is least stable? Easy: 2).